Li5Ir: optimized geometry, PBE.

Computed properties:
**DFT total energy**: -3.08 eV per atom
**Symmetry**: No. 65
**Calculated volume**: 87.98 Å³/cell
**Density of states at the Fermi level**: 0.387 states/eV per atom

Cell lengths 5.0705, 5.0705, 4.3867 Å; angles 90.00, 90.00, 128.73 degrees
Last column: nearest neighbours and their distance in Å.
Sites, in units of the cell vectors:
Li: 0.0000 0.0000 0.0000  8 Li 2.58-2.66
Li: 0.1651 0.8349 0.5000  6 Li 2.66-2.78, 2 Ir 2.66
Li: 0.3511 0.6489 0.0000  2 Ir 2.58, 7 Li 2.58-2.87
Li: 0.6489 0.3511 0.0000  2 Ir 2.58, 7 Li 2.58-2.87
Li: 0.8349 0.1651 0.5000  6 Li 2.66-2.78, 2 Ir 2.66
Ir: 0.5000 0.5000 0.5000  8 Li 2.58-2.66